## HfW3O (PBE+U)

Data for HfW3O after structural relaxation.

Computed properties:
**Uncorrected energy**: -4.35 eV per atom

Cell lengths 5.209, 5.209, 5.209 Å; angles 90.00, 90.00, 90.00 degrees
Space group Pm-3m (No. 221)
Inequivalent atoms, fractional coordinates:
Hf 0.000 0.000 0.000
W 0.000 0.000 0.500
O 0.500 0.500 0.500